Entry 1:
The following is a DFT calculation (meta-GGA SCAN) of a PBEsol-optimized structure of Y2NiIr.

Volume   19.00 Å³ per atom
Formation energy   -168 kJ/mol of formula units

Cell lengths 3.959, 3.959, 9.697 Å; angles 90.00, 90.00, 90.00 degrees
Space group I-4m2 (No. 119)
Inequivalent atoms, fractional coordinates:
Y1 0.000 0.000 0.000 x2
Y2 0.000 0.500 0.250 x2
Ni1 0.000 0.500 0.750 x2
Ir1 0.000 0.000 0.500 x2

***

Entry 2:
The following is a DFT calculation (meta-GGA SCAN) of a PBEsol-optimized structure of ZrNiIr2.

Volume   14.67 Å³ per atom
Formation energy   24 kJ/mol of formula units

Cell lengths 2.7487, 2.7487, 26.9022 Å; angles 90.00, 90.00, 120.00 degrees
Space group R3m (No. 160, hexagonal axes)
Inequivalent atoms, fractional coordinates:
Zr1 0.0000 0.0000 0.0000 x3
Ni1 0.0000 0.0000 0.2476 x3
Ir1 0.0000 0.0000 0.5057 x3
Ir2 0.0000 0.0000 0.7571 x3

***

Entry 3:
The following is a DFT calculation (meta-GGA SCAN) of a PBEsol-optimized structure of ZrNiIr2.

Volume   14.64 Å³ per atom
Formation energy   -29 kJ/mol of formula units

Cell lengths 2.7681, 2.7681, 26.4657 Å; angles 90.00, 90.00, 120.00 degrees
Space group R-3m (No. 166, hexagonal axes)
Inequivalent atoms, fractional coordinates:
Zr1 0.0000 0.0000 0.0000 x3
Ni1 0.0000 0.0000 0.5000 x3
Ir1 0.0000 0.0000 0.2425 x6

***

Entry 4:
The following is a DFT calculation (meta-GGA SCAN) of a PBEsol-optimized structure of ZrNiIr2.

Volume   14.83 Å³ per atom
Formation energy   -199 kJ/mol of formula units

Cell lengths 2.981, 3.504, 5.677 Å; angles 90.00, 90.00, 90.00 degrees
Space group Pmmm (No. 47)
Inequivalent atoms, fractional coordinates:
Zr1 0.000 0.000 0.000 x1
Ni1 0.000 0.000 0.500 x1
Ir1 0.500 0.500 0.274 x2

***

Entry 5:
The following is a DFT calculation (meta-GGA SCAN) of a PBEsol-optimized structure of ZrNiIr4.

Volume   15.70 Å³ per atom
Formation energy   -166 kJ/mol of formula units

Cell lengths 7.223, 7.223, 7.223 Å; angles 90.00, 90.00, 90.00 degrees
Space group F-43m (No. 216)
Inequivalent atoms, fractional coordinates:
Zr1 0.000 0.000 0.000 x4
Ni1 0.250 0.250 0.750 x4
Ir1 0.125 0.125 0.375 x16

***

Entry 6:
The following is a DFT calculation (meta-GGA SCAN) of a PBEsol-optimized structure of Zr2Ni2Ir.

Volume   15.17 Å³ per atom
Formation energy   -328 kJ/mol of formula units

Cell lengths 6.794, 6.794, 3.286 Å; angles 90.00, 90.00, 90.00 degrees
Space group P4/mbm (No. 127)
Inequivalent atoms, fractional coordinates:
Zr1 0.181 0.319 0.000 x4
Ni1 0.122 0.622 0.500 x4
Ir1 0.000 0.000 0.500 x2

***

Entry 7:
The following is a DFT calculation (meta-GGA SCAN) of a PBEsol-optimized structure of P2IrO2.

Volume   11.26 Å³ per atom
Formation energy (no corrections)   786 meV per atom

Cell lengths 3.913, 3.913, 3.678 Å; angles 90.00, 90.00, 90.00 degrees
Space group P4/mmm (No. 123)
Inequivalent atoms, fractional coordinates:
P1 0.000 0.500 0.000 x2
Ir1 0.000 0.000 0.500 x1
O1 0.500 0.500 0.000 x1
O2 0.500 0.500 0.500 x1

***

Entry 8:
The following is a DFT calculation (meta-GGA SCAN) of a PBEsol-optimized structure of RbPIrO2.

Volume   15.46 Å³ per atom
Formation energy (no corrections)   -155 meV per atom

Cell lengths 4.126, 4.126, 4.541 Å; angles 90.00, 90.00, 90.00 degrees
Space group P4/mmm (No. 123)
Inequivalent atoms, fractional coordinates:
Rb1 0.000 0.000 0.000 x1
P1 0.500 0.500 0.000 x1
Ir1 0.500 0.500 0.500 x1
O1 0.000 0.500 0.500 x2

***

Entry 9:
The following is a DFT calculation (meta-GGA SCAN) of a PBEsol-optimized structure of SnP2IrO.

Volume   17.30 Å³ per atom
Formation energy (no corrections)   162 meV per atom

Cell lengths 4.851, 4.851, 3.675 Å; angles 90.00, 90.00, 90.00 degrees
Space group P4/mmm (No. 123)
Inequivalent atoms, fractional coordinates:
Sn1 0.000 0.000 0.000 x1
P1 0.000 0.500 0.500 x2
Ir1 0.500 0.500 0.500 x1
O1 0.500 0.500 0.000 x1

***

Entry 10:
The following is a DFT calculation (meta-GGA SCAN) of a PBEsol-optimized structure of TaP2IrO.

Volume   16.03 Å³ per atom
Formation energy (no corrections)   479 meV per atom

Cell lengths 4.729, 4.729, 3.583 Å; angles 90.00, 90.00, 90.00 degrees
Space group P4/mmm (No. 123)
Inequivalent atoms, fractional coordinates:
Ta1 0.000 0.000 0.000 x1
P1 0.000 0.500 0.500 x2
Ir1 0.500 0.500 0.500 x1
O1 0.500 0.500 0.000 x1

***

Entry 11:
The following is a DFT calculation (meta-GGA SCAN) of a PBEsol-optimized structure of TcPIrO2.

Volume   14.68 Å³ per atom
Formation energy (no corrections)   157 meV per atom

Cell lengths 3.671, 3.671, 5.447 Å; angles 90.00, 90.00, 90.00 degrees
Space group P4/mmm (No. 123)
Inequivalent atoms, fractional coordinates:
Tc1 0.000 0.000 0.000 x1
P1 0.500 0.500 0.000 x1
Ir1 0.500 0.500 0.500 x1
O1 0.000 0.500 0.500 x2

***

Entry 12:
The following is a DFT calculation (meta-GGA SCAN) of a PBEsol-optimized structure of TiPIrO2.

Volume   14.41 Å³ per atom
Formation energy (no corrections)   -388 meV per atom

Cell lengths 3.735, 3.735, 5.165 Å; angles 90.00, 90.00, 90.00 degrees
Space group P4/mmm (No. 123)
Inequivalent atoms, fractional coordinates:
Ti1 0.000 0.000 0.000 x1
P1 0.500 0.500 0.000 x1
Ir1 0.500 0.500 0.500 x1
O1 0.000 0.500 0.500 x2

***

Entry 13:
The following is a DFT calculation (meta-GGA SCAN) of a PBEsol-optimized structure of ZnPIrO2.

Volume   14.34 Å³ per atom
Formation energy (no corrections)   -180 meV per atom

Cell lengths 3.717, 3.717, 5.189 Å; angles 90.00, 90.00, 90.00 degrees
Space group P4/mmm (No. 123)
Inequivalent atoms, fractional coordinates:
Zn1 0.000 0.000 0.000 x1
P1 0.500 0.500 0.000 x1
Ir1 0.500 0.500 0.500 x1
O1 0.000 0.500 0.500 x2

***

Entry 14:
The following is a DFT calculation (meta-GGA SCAN) of a PBEsol-optimized structure of Pr2Ir2O7.

Volume   12.75 Å³ per atom
Formation energy (no corrections)   -2182 meV per atom

Cell lengths 10.390, 10.390, 10.390 Å; angles 90.00, 90.00, 90.00 degrees
Space group Fd-3m (No. 227, origin choice 2)
Inequivalent atoms, fractional coordinates:
Pr1 0.000 0.000 0.000 x16
Ir1 0.000 0.000 0.500 x16
O1 0.081 0.375 0.875 x48
O2 0.125 0.125 0.125 x8

***

Entry 15:
The following is a DFT calculation (meta-GGA SCAN) of a PBEsol-optimized structure of IrPtO2.

Volume   12.26 Å³ per atom
Formation energy (no corrections)   -411 meV per atom

Cell lengths 3.0694, 3.0694, 18.0322 Å; angles 90.00, 90.00, 120.00 degrees
Space group R-3m (No. 166, hexagonal axes)
Inequivalent atoms, fractional coordinates:
Ir1 0.0000 0.0000 0.0000 x3
Pt1 0.0000 0.0000 0.5000 x3
O1 0.0000 0.0000 0.3890 x6

***

Entry 16:
The following is a DFT calculation (meta-GGA SCAN) of a PBEsol-optimized structure of IrPt3O.

Volume   14.17 Å³ per atom
Formation energy (no corrections)   870 meV per atom

Cell lengths 4.138, 4.138, 4.138 Å; angles 90.00, 90.00, 90.00 degrees
Space group Pm-3m (No. 221)
Inequivalent atoms, fractional coordinates:
Ir1 0.000 0.000 0.000 x1
Pt1 0.000 0.500 0.500 x3
O1 0.500 0.500 0.500 x1

***

Entry 17:
The following is a DFT calculation (meta-GGA SCAN) of a PBEsol-optimized structure of RbTa2IrO.

Volume   17.35 Å³ per atom
Formation energy (no corrections)   826 meV per atom

Cell lengths 4.210, 4.210, 4.895 Å; angles 90.00, 90.00, 90.00 degrees
Space group P4/mmm (No. 123)
Inequivalent atoms, fractional coordinates:
Rb1 0.000 0.000 0.000 x1
Ta1 0.000 0.500 0.500 x2
Ir1 0.500 0.500 0.000 x1
O1 0.500 0.500 0.500 x1

***

Entry 18:
The following is a DFT calculation (meta-GGA SCAN) of a PBEsol-optimized structure of ReIr3O.

Volume   20.52 Å³ per atom
Formation energy (no corrections)   2389 meV per atom

Cell lengths 4.682, 4.682, 4.682 Å; angles 90.00, 90.00, 90.00 degrees
Space group Pm-3m (No. 221)
Inequivalent atoms, fractional coordinates:
Re1 0.000 0.000 0.000 x1
Ir1 0.000 0.000 0.500 x3
O1 0.500 0.500 0.500 x1

***

Entry 19:
The following is a DFT calculation (meta-GGA SCAN) of a PBEsol-optimized structure of ReIrO3.

Volume   11.95 Å³ per atom
Formation energy (no corrections)   620 meV per atom

Cell lengths 3.910, 3.910, 3.910 Å; angles 90.00, 90.00, 90.00 degrees
Space group Pm-3m (No. 221)
Inequivalent atoms, fractional coordinates:
Re1 0.000 0.000 0.000 x1
Ir1 0.500 0.500 0.500 x1
O1 0.000 0.500 0.500 x3

***

Entry 20:
The following is a DFT calculation (meta-GGA SCAN) of a PBEsol-optimized structure of ReIrO2.

Volume   12.59 Å³ per atom
Formation energy (no corrections)   346 meV per atom

Cell lengths 4.627, 4.627, 9.404 Å; angles 90.00, 90.00, 90.00 degrees
Space group I-42d (No. 122)
Inequivalent atoms, fractional coordinates:
Re1 0.000 0.000 0.000 x4
Ir1 0.000 0.000 0.500 x4
O1 0.225 0.250 0.125 x8

***

Entry 21:
The following is a DFT calculation (meta-GGA SCAN) of a PBEsol-optimized structure of IrRuO3.

Volume   11.63 Å³ per atom
Formation energy (no corrections)   137 meV per atom

Cell lengths 3.875, 3.875, 3.875 Å; angles 90.00, 90.00, 90.00 degrees
Space group Pm-3m (No. 221)
Inequivalent atoms, fractional coordinates:
Ir1 0.000 0.000 0.000 x1
Ru1 0.500 0.500 0.500 x1
O1 0.000 0.000 0.500 x3

***

Entry 22:
The following is a DFT calculation (meta-GGA SCAN) of a PBEsol-optimized structure of Sr6Ir2RuO12.

Volume   13.60 Å³ per atom
Formation energy (no corrections)   -2251 meV per atom

Cell lengths 16.492, 5.495, 6.876 Å; angles 90.00, 113.56, 90.00 degrees
Space group C2/m (No. 12)
Inequivalent atoms, fractional coordinates:
Sr1 0.049 0.000 0.294 x4
Sr2 0.119 0.500 0.708 x4
Sr3 0.216 0.500 0.292 x4
Ir1 0.165 0.000 0.000 x4
Ru1 0.000 0.500 0.000 x2
O1 0.054 0.500 0.324 x4
O2 0.082 0.253 0.000 x8
O3 0.112 0.000 0.674 x4
O4 0.220 0.000 0.327 x4
O5 0.250 0.250 0.000 x4

***

Entry 23:
The following is a DFT calculation (meta-GGA SCAN) of a PBEsol-optimized structure of IrS2O.

Volume   16.15 Å³ per atom
Formation energy (no corrections)   -204 meV per atom

Cell lengths 3.6144, 3.6144, 17.1251 Å; angles 90.00, 90.00, 120.00 degrees
Space group R-3m (No. 166, hexagonal axes)
Inequivalent atoms, fractional coordinates:
Ir1 0.0000 0.0000 0.0000 x3
S1 0.0000 0.0000 0.3973 x6
O1 0.0000 0.0000 0.5000 x3

***

Entry 24:
The following is a DFT calculation (meta-GGA SCAN) of a PBEsol-optimized structure of IrSO3.

Volume   11.36 Å³ per atom
Formation energy (no corrections)   221 meV per atom

Cell lengths 3.844, 3.844, 3.844 Å; angles 90.00, 90.00, 90.00 degrees
Space group Pm-3m (No. 221)
Inequivalent atoms, fractional coordinates:
Ir1 0.000 0.000 0.000 x1
S1 0.500 0.500 0.500 x1
O1 0.000 0.000 0.500 x3

***

Entry 25:
The following is a DFT calculation (meta-GGA SCAN) of a PBEsol-optimized structure of IrS3O.

Volume   13.56 Å³ per atom
Formation energy (no corrections)   1399 meV per atom

Cell lengths 4.078, 4.078, 4.078 Å; angles 90.00, 90.00, 90.00 degrees
Space group Pm-3m (No. 221)
Inequivalent atoms, fractional coordinates:
Ir1 0.000 0.000 0.000 x1
S1 0.000 0.500 0.500 x3
O1 0.500 0.500 0.500 x1

***

Entry 26:
The following is a DFT calculation (meta-GGA SCAN) of a PBEsol-optimized structure of IrSe2SO.

Volume   17.99 Å³ per atom
Formation energy (no corrections)   328 meV per atom

Cell lengths 4.956, 4.956, 3.661 Å; angles 90.00, 90.00, 90.00 degrees
Space group P4/mmm (No. 123)
Inequivalent atoms, fractional coordinates:
Ir1 0.000 0.000 0.000 x1
Se1 0.000 0.500 0.000 x2
S1 0.500 0.500 0.500 x1
O1 0.000 0.000 0.500 x1

***

Entry 27:
The following is a DFT calculation (meta-GGA SCAN) of a PBEsol-optimized structure of SnIr2SO.

Volume   14.66 Å³ per atom
Formation energy (no corrections)   463 meV per atom

Cell lengths 4.689, 4.689, 3.333 Å; angles 90.00, 90.00, 90.00 degrees
Space group P4/mmm (No. 123)
Inequivalent atoms, fractional coordinates:
Sn1 0.000 0.000 0.000 x1
Ir1 0.000 0.500 0.500 x2
S1 0.500 0.500 0.500 x1
O1 0.500 0.500 0.000 x1